A geometry-optimized Re2MoO structure, computed with GGA+U.

Properties
SG: I-42d, No. 122
VASP energy: -34.61 eV per formula unit
Crystal system: tetragonal
ρ: 14.64 g cm⁻³

```
Re2MoO
1.0
-3.3126 3.3126 2.5034
3.3126 -3.3126 2.5034
3.3126 3.3126 -2.5034
Re Mo O
4 2 2
direct
0.0374 0.6250 0.9124 Re
0.3750 0.2874 0.4124 Re
0.7126 0.1250 0.0876 Re
0.8750 0.9626 0.5876 Re
0.2500 0.7500 0.5000 Mo
0.5000 0.5000 0.0000 Mo
0.0000 0.0000 0.0000 O
0.7500 0.2500 0.5000 O
```